Entry 1:
TcBr3 (PBE-GGA, relaxed); E above lowest polymorph = 673 meV/atom
1.0
-4.531 -3.647 4.321
5.340 -4.579 1.735
1.588 -1.394 6.563
Tc Br
2 6
Direct
0.000 0.000 0.000 Tc
0.750 0.250 0.500 Tc
0.500 0.500 0.000 Br
0.250 0.750 0.500 Br
0.726 0.125 0.250 Br
0.024 0.625 0.250 Br
0.375 0.274 0.750 Br
0.875 0.976 0.750 Br


Entry 2:
Tc2Br (PBE-GGA, relaxed); E above lowest polymorph = 140 meV/atom
1.0
-1.995 1.013 4.095
-1.635 -2.021 3.876
7.765 0.441 6.642
Tc Br
4 2
Direct
0.212 0.212 0.404 Tc
0.463 0.463 0.514 Tc
0.973 0.973 0.295 Tc
0.715 0.715 0.206 Tc
0.984 0.984 0.038 Br
0.820 0.820 0.708 Br


Entry 3:
TcTe2Br (PBE-GGA, relaxed); E above lowest polymorph = 862 meV/atom
1.0
5.175 -0.035 0.465
-1.149 5.046 0.465
1.687 2.099 4.486
Te Tc Br
2 1 1
Direct
0.000 0.000 0.000 Te
0.500 0.500 0.000 Te
0.000 0.500 0.500 Tc
0.500 0.000 0.500 Br


Entry 4:
TcTeBr2 (PBE-GGA, relaxed); E above lowest polymorph = 212 meV/atom
1.0
7.871 0.081 0.012
5.655 5.475 -0.012
-6.330 -3.832 2.684
Te Tc Br
1 1 2
Direct
0.250 0.750 0.500 Te
0.750 0.250 0.500 Tc
0.893 0.893 0.000 Br
0.607 0.607 0.000 Br


Entry 5:
TcTe2Br (PBE-GGA, relaxed); E above lowest polymorph = 713 meV/atom
1.0
3.455 0.000 0.000
0.000 7.284 0.869
0.000 9.978 4.848
Te Tc Br
2 1 1
Direct
0.000 0.000 0.000 Te
0.500 0.500 0.000 Te
0.000 0.000 0.500 Tc
0.500 0.500 0.500 Br


Entry 6:
Tc2TeBr (PBE-GGA, relaxed); E above lowest polymorph = 430 meV/atom
1.0
8.351 -0.003 -0.002
7.743 3.130 -0.002
7.743 1.504 2.745
Te Tc Br
1 2 1
Direct
0.250 0.250 0.250 Te
0.997 0.997 0.997 Tc
0.503 0.503 0.503 Tc
0.750 0.750 0.750 Br